(1)
3
Lattice="4.403 0.000 0.000 -2.202 3.813 0.000 0.000 0.000 4.676" Properties=species:S:1:pos:R:3 comment="TlAsAu PBE relaxed" polymorph_energy_mev_per_atom=74 volume_a3_per_cell=79 spacegroup=P3m1 total_energy_ev_per_cell=-10.25 magnetic_moment_mub_per_atom=0.00 formation_energy_ev_per_atom=0.014 pbc="T T T"
Tl 0.000 0.000 0.000
As 2.202 1.271 2.326
Au 0.000 2.542 2.361


(2)
4
Lattice="2.113 1.220 6.683 -2.113 1.220 6.683 0.000 -2.440 6.683" Properties=species:S:1:pos:R:3 comment="Tl2AsAu PBE relaxed" polymorph_energy_mev_per_atom=206 volume_a3_per_cell=103 spacegroup=R-3m total_energy_ev_per_cell=-12.10 magnetic_moment_mub_per_atom=0.00 formation_energy_ev_per_atom=0.139 pbc="T T T"
Tl 0.000 0.000 4.989
Tl 0.000 0.000 15.059
As 0.000 0.000 10.024
Au 0.000 0.000 0.000


(3)
4
Lattice="2.238 1.292 6.751 -2.238 1.292 6.751 0.000 -2.585 6.751" Properties=species:S:1:pos:R:3 comment="Tl2AsAu PBE relaxed" polymorph_energy_mev_per_atom=0 volume_a3_per_cell=117 spacegroup=R3m total_energy_ev_per_cell=-12.93 magnetic_moment_mub_per_atom=0.00 formation_energy_ev_per_atom=-0.067 pbc="T T T"
Tl 0.000 0.000 0.000
Tl 0.000 0.000 4.059
As 0.000 0.000 15.494
Au 0.000 0.000 8.837


(4)
4
Lattice="4.276 0.000 0.000 0.000 4.606 0.000 -0.297 0.000 4.987" Properties=species:S:1:pos:R:3 comment="Tl2AsAu PBE relaxed" polymorph_energy_mev_per_atom=289 volume_a3_per_cell=98 spacegroup=P2/m total_energy_ev_per_cell=-11.77 magnetic_moment_mub_per_atom=0.00 formation_energy_ev_per_atom=0.222 pbc="T T T"
Tl 0.000 0.000 0.000
Tl 2.138 2.303 0.000
As -0.148 2.303 2.494
Au 1.990 0.000 2.494


(5)
5
Lattice="-2.315 2.315 5.371 2.315 -2.315 5.371 2.315 2.315 -5.371" Properties=species:S:1:pos:R:3 comment="TlAs2Au2 PBE relaxed" polymorph_energy_mev_per_atom=0 volume_a3_per_cell=115 spacegroup=I4/mmm total_energy_ev_per_cell=-17.97 magnetic_moment_mub_per_atom=0.00 formation_energy_ev_per_atom=0.051 pbc="T T T"
Tl 0.000 0.000 0.000
As 0.000 0.000 4.111
As 0.000 0.000 6.632
Au 2.315 0.000 2.686
Au 0.000 2.315 2.686


(6)
6
Lattice="2.934 -2.782 0.000 2.934 2.782 0.000 -0.727 0.000 9.145" Properties=species:S:1:pos:R:3 comment="TlAsAu PBE relaxed" polymorph_energy_mev_per_atom=103 volume_a3_per_cell=149 spacegroup=C2/m total_energy_ev_per_cell=-20.33 magnetic_moment_mub_per_atom=0.00 formation_energy_ev_per_atom=0.042 pbc="T T T"
Tl 1.147 0.000 3.390
Tl 3.995 0.000 5.756
As 0.990 0.000 9.060
As 4.152 0.000 0.085
Au 1.037 0.000 6.489
Au 4.104 0.000 2.656


Which formula does entry 2 have?
Tl2AsAu